# 1
Computed, not measured: a geometry-optimized Ce3MoO7 structure at the PBE with a Hubbard U level of DFT.

Cell: 6.6202 6.6202 7.6201 Å, 90.00 90.00 108.84°
Each line ends with the local moment (μB).
Element x y z (fractional)
Ce  0.5001  0.5001  0.5000  0.57
Ce  0.4999  0.4999  0.0000  0.57
Ce  0.5291  0.0037  0.2500  0.39
Ce  0.4709  0.9963  0.7500  0.39
Ce  0.0037  0.5291  0.7500  0.39
Ce  0.9963  0.4709  0.2500  0.39
Mo  0.0001  0.0001  0.5000  2.65
Mo  0.9999  0.9999  0.0000  2.65
O  0.6537  0.9033  0.5253  -0.01
O  0.3463  0.0967  0.0253  -0.01
O  0.9033  0.6537  0.4747  -0.01
O  0.0967  0.3463  0.9747  -0.01
O  0.0968  0.3464  0.5252  -0.01
O  0.9032  0.6536  0.0252  -0.01
O  0.3464  0.0968  0.4748  -0.01
O  0.6536  0.9032  0.9748  -0.01
O  0.3675  0.6325  0.2500  -0.02
O  0.6325  0.3675  0.7500  -0.02
O  0.6322  0.3678  0.2500  -0.02
O  0.3678  0.6322  0.7500  -0.02
O  0.9061  0.0939  0.2500  0.01
O  0.0939  0.9061  0.7500  0.01

Values from the calculation:
Crystal system: orthorhombic
E_tot (eV/atom): -8.4659



# 2
Computed, not measured: a geometry-optimized CeMoO4 structure at the PBE with a Hubbard U level of DFT.

Cell: 5.1327 5.5323 5.8403 Å, 90.00 90.00 90.00°
Each line ends with the local moment (μB).
Element x y z (fractional)
Ce  0.0000  0.5000  0.1839  0.17
Ce  0.5000  0.5000  0.6839  0.17
Mo  0.0000  0.0000  0.8454  1.83
Mo  0.5000  0.0000  0.3454  1.83
O  0.2390  0.8499  0.1048  -0.02
O  0.1990  0.3158  0.8806  -0.01
O  0.3010  0.3158  0.3806  -0.01
O  0.2610  0.8499  0.6048  -0.02
O  0.6990  0.6842  0.3806  -0.01
O  0.7390  0.1501  0.6048  -0.02
O  0.7610  0.1501  0.1048  -0.02
O  0.8010  0.6842  0.8806  -0.01

Values from the calculation:
Crystal system: orthorhombic
E_tot (eV/atom): -7.9555



# 3
Computed, not measured: a geometry-optimized Ce2Mo3O12 structure at the PBE with a Hubbard U level of DFT.

Cell: 6.9960 6.9960 11.5908 Å, 79.39 79.39 111.60°
Each line ends with the local moment (μB).
Element x y z (fractional)
Ce  0.2073  0.4521  0.5943  0.66
Ce  0.5479  0.7927  0.9057  0.66
Ce  0.4521  0.2073  0.0943  0.66
Ce  0.7927  0.5479  0.4057  0.66
Mo  0.7480  0.9628  0.5512  0.06
Mo  0.0372  0.2520  0.9488  0.06
Mo  0.3720  0.6280  0.2500  0.67
Mo  0.2520  0.0372  0.4488  0.06
Mo  0.6280  0.3720  0.7500  0.67
Mo  0.9628  0.7480  0.0512  0.06
O  0.0344  0.3998  0.8044  -0.01
O  0.4322  0.8392  0.1057  -0.02
O  0.7310  0.1600  0.4403  -0.01
O  0.6002  0.9656  0.6956  -0.01
O  0.8400  0.2690  0.0597  -0.01
O  0.1608  0.5678  0.3943  -0.02
O  0.7065  0.6311  0.7829  -0.02
O  0.1000  0.0234  0.0764  -0.01
O  0.4142  0.3116  0.4582  -0.01
O  0.3689  0.2935  0.7171  -0.02
O  0.6884  0.5858  0.0418  -0.01
O  0.9766  0.9000  0.4236  -0.01
O  0.5678  0.1608  0.8943  -0.02
O  0.9656  0.6002  0.1956  -0.01
O  0.2690  0.8400  0.5597  -0.01
O  0.1600  0.7310  0.9403  -0.01
O  0.3998  0.0344  0.3044  -0.01
O  0.8392  0.4322  0.6057  -0.02
O  0.9000  0.9766  0.9236  -0.01
O  0.2935  0.3689  0.2171  -0.02
O  0.5858  0.6884  0.5418  -0.01
O  0.3116  0.4142  0.9582  -0.01
O  0.6311  0.7065  0.2829  -0.02
O  0.0234  0.1000  0.5764  -0.01

Values from the calculation:
Crystal system: monoclinic
E_tot (eV/atom): -7.6415



# 4
Computed, not measured: a geometry-optimized CeMoO2 structure at the PBE with a Hubbard U level of DFT.

Cell: 7.5574 7.5574 7.5574 Å, 129.50 129.50 74.21°
Each line ends with the local moment (μB).
Element x y z (fractional)
Mo  0.3750  0.1250  0.2500  3.00
Mo  0.8750  0.1250  0.7500  3.00
Mo  0.8750  0.1250  0.2500  3.00
Mo  0.8750  0.6250  0.7500  3.00
O  0.1705  0.3944  0.2239  0.03
O  0.1705  0.9466  0.7761  0.03
O  0.1444  0.4205  0.7239  0.03
O  0.5795  0.8556  0.2761  0.03
O  0.6966  0.4205  0.2761  0.03
O  0.5795  0.3034  0.7239  0.03
O  0.6056  0.8295  0.7761  0.03
O  0.0534  0.8295  0.2239  0.03
Ce  0.8750  0.6250  0.2500  -1.03
Ce  0.3750  0.6250  0.7500  -1.03
Ce  0.3750  0.6250  0.2500  -1.03
Ce  0.3750  0.1250  0.7500  -1.03

Values from the calculation:
Crystal system: tetragonal
E_tot (eV/atom): -7.5324



# 5
Computed, not measured: a geometry-optimized Ce4MoO10 structure at the PBE with a Hubbard U level of DFT.

Cell: 3.8019 3.8019 15.7018 Å, 83.05 83.05 60.00°
Each line ends with the local moment (μB).
Element x y z (fractional)
Ce  0.3966  0.3966  0.8102  0.05
Ce  0.7989  0.7989  0.6033  0.00
Ce  0.2011  0.2011  0.3967  0.00
Ce  0.6034  0.6034  0.1898  0.05
Mo  0.0000  0.0000  0.0000  1.95
O  0.9544  0.9544  0.1367  0.00
O  0.1495  0.1495  0.5514  0.00
O  0.5518  0.5518  0.3447  0.00
O  0.3460  0.3460  0.9620  -0.04
O  0.7472  0.7472  0.7584  -0.01
O  0.6540  0.6540  0.0380  -0.04
O  0.8505  0.8505  0.4486  0.00
O  0.2528  0.2528  0.2416  -0.01
O  0.0456  0.0456  0.8633  0.00
O  0.4482  0.4482  0.6553  0.00

Values from the calculation:
Crystal system: trigonal
E_tot (eV/atom): -8.4434



# 6
Computed, not measured: a geometry-optimized CePaMoO6 structure at the PBE with a Hubbard U level of DFT.

Cell: 5.6088 5.6088 9.7890 Å, 90.00 90.00 120.00°
Each line ends with the local moment (μB).
Element x y z (fractional)
Ce  0.0000  0.0000  0.0000  0.25
Ce  0.0000  0.0000  0.5000  0.25
Pa  0.3333  0.6667  0.2500  0.08
Pa  0.6667  0.3333  0.7500  0.08
Mo  0.6667  0.3333  0.2500  2.54
Mo  0.3333  0.6667  0.7500  2.54
O  0.6634  0.6578  0.1339  -0.01
O  0.9945  0.3366  0.1339  -0.01
O  0.3366  0.9945  0.6339  -0.01
O  0.0055  0.6634  0.8661  -0.01
O  0.3422  0.3366  0.3661  -0.01
O  0.9945  0.6578  0.3661  -0.01
O  0.6578  0.9945  0.8661  -0.01
O  0.6634  0.0055  0.3661  -0.01
O  0.0055  0.3422  0.6339  -0.01
O  0.3422  0.0055  0.1339  -0.01
O  0.6578  0.6634  0.6339  -0.01
O  0.3366  0.3422  0.8661  -0.01

Values from the calculation:
Crystal system: trigonal
E_tot (eV/atom): -8.7507



# 7
Computed, not measured: a geometry-optimized CeMoPbO6 structure at the PBE with a Hubbard U level of DFT.

Cell: 5.6919 5.6919 10.2567 Å, 90.00 90.00 120.00°
Element x y z (fractional)
Ce  0.3333  0.6667  0.2500
Ce  0.6667  0.3333  0.7500
Mo  0.6667  0.3333  0.2500
Mo  0.3333  0.6667  0.7500
Pb  0.0000  0.0000  0.0000
Pb  0.0000  0.0000  0.5000
O  0.6471  0.6088  0.1443
O  0.9617  0.3529  0.1443
O  0.3529  0.9617  0.6443
O  0.0383  0.6471  0.8557
O  0.3912  0.3529  0.3557
O  0.9617  0.6088  0.3557
O  0.6088  0.9617  0.8557
O  0.6471  0.0383  0.3557
O  0.0383  0.3912  0.6443
O  0.3912  0.0383  0.1443
O  0.6088  0.6471  0.6443
O  0.3529  0.3912  0.8557

Values from the calculation:
Crystal system: trigonal
E_tot (eV/atom): -7.2404



# 8
Computed, not measured: a geometry-optimized CePmMo2O8 structure at the PBE with a Hubbard U level of DFT.

Cell: 5.3295 5.3295 6.7908 Å, 113.10 113.10 90.00°
Each line ends with the local moment (μB).
Element x y z (fractional)
Ce  0.0000  0.0000  0.0000  0.43
Pm  0.7500  0.2500  0.5000  0.03
Mo  0.5000  0.5000  0.0000  1.70
Mo  0.2500  0.7500  0.5000  0.90
O  0.7739  0.8462  0.1739  -0.02
O  0.4001  0.3278  0.1739  -0.02
O  0.5790  0.6561  0.6732  -0.01
O  0.0942  0.0171  0.6732  -0.01
O  0.9829  0.4210  0.3268  -0.01
O  0.3439  0.9058  0.3268  -0.01
O  0.1538  0.5999  0.8261  -0.02
O  0.6722  0.2261  0.8261  -0.02

Values from the calculation:
Crystal system: tetragonal
E_tot (eV/atom): -7.8329



# 9
Computed, not measured: a geometry-optimized Ce2PrMoO8 structure at the PBE with a Hubbard U level of DFT.

Cell: 5.1240 5.1281 7.0290 Å, 89.83 90.17 90.18°
Each line ends with the local moment (μB).
Element x y z (fractional)
Ce  0.4939  0.5061  0.7572  0.04
Ce  0.5061  0.4939  0.2428  0.04
Pr  0.0000  0.0000  0.5000  0.00
Mo  0.0000  0.0000  0.0000  0.94
O  0.1787  0.8196  0.2045  -0.03
O  0.7098  0.7114  0.0000  0.00
O  0.8122  0.1898  0.2170  0.01
O  0.8213  0.1804  0.7955  -0.03
O  0.2902  0.2886  0.0000  0.00
O  0.1878  0.8102  0.7830  0.01
O  0.6766  0.6799  0.4999  0.00
O  0.3234  0.3201  0.5001  0.00

Values from the calculation:
Crystal system: triclinic
E_tot (eV/atom): -8.1005



# 10
Computed, not measured: a geometry-optimized RbCe2MoO8 structure at the PBE with a Hubbard U level of DFT.

Cell: 5.4131 4.3941 7.3277 Å, 72.88 87.45 84.62°
Element x y z (fractional)
Rb  0.0000  0.0000  0.5000
Ce  0.5137  0.3978  0.7813
Ce  0.4863  0.6022  0.2187
Mo  0.0000  0.0000  0.0000
O  0.0655  0.6488  0.2280
O  0.7044  0.8282  0.9271
O  0.7607  0.2060  0.1372
O  0.9345  0.3512  0.7720
O  0.2956  0.1718  0.0729
O  0.2393  0.7940  0.8628
O  0.5073  0.7520  0.4923
O  0.4927  0.2480  0.5077

Values from the calculation:
Crystal system: triclinic
E_tot (eV/atom): -7.2083



# 11
Computed, not measured: a geometry-optimized Rb2CeMo3O12 structure at the PBE with a Hubbard U level of DFT.

Cell: 7.6680 7.6680 7.6680 Å, 58.27 58.27 58.27°
Element x y z (fractional)
Rb  0.6303  0.6303  0.6303
Rb  0.3697  0.3697  0.3697
Ce  0.0000  0.0000  0.0000
Mo  0.5000  0.0000  0.0000
Mo  0.0000  0.5000  0.0000
Mo  0.0000  0.0000  0.5000
O  0.3010  0.3010  0.9352
O  0.9253  0.9253  0.3523
O  0.3523  0.9253  0.9253
O  0.9352  0.3010  0.3010
O  0.9253  0.3523  0.9253
O  0.3010  0.9352  0.3010
O  0.6990  0.6990  0.0648
O  0.0747  0.0747  0.6477
O  0.6477  0.0747  0.0747
O  0.0648  0.6990  0.6990
O  0.0747  0.6477  0.0747
O  0.6990  0.0648  0.6990

Values from the calculation:
Crystal system: trigonal
E_tot (eV/atom): -6.8716



# 12
Computed, not measured: a geometry-optimized RbCeMoO6 structure at the PBE with a Hubbard U level of DFT.

Cell: 5.8573 5.8572 6.1811 Å, 91.45 88.54 55.66°
Each line ends with the local moment (μB).
Element x y z (fractional)
Rb  0.9964  0.9964  0.0000  0.00
Ce  0.6726  0.6726  0.5000  0.23
Mo  0.3554  0.3554  0.5000  -0.04
O  0.0133  0.3890  0.3147  0.25
O  0.3889  0.0133  0.6852  0.25
O  0.6217  0.3388  0.6620  0.02
O  0.0464  0.5663  0.6952  0.06
O  0.3388  0.6218  0.3380  0.02
O  0.5663  0.0464  0.3047  0.06

Values from the calculation:
Crystal system: monoclinic
E_tot (eV/atom): -6.8934



# 13
Computed, not measured: a geometry-optimized CeSc2MoO8 structure at the PBE with a Hubbard U level of DFT.

Cell: 4.8453 4.8438 6.6350 Å, 90.00 90.00 90.77°
Element x y z (fractional)
Ce  0.0000  0.0000  0.5000
Sc  0.5000  0.5000  0.7554
Sc  0.5000  0.5000  0.2446
Mo  0.0000  0.0000  0.0000
O  0.1917  0.8077  0.2149
O  0.7116  0.7122  0.0000
O  0.8084  0.1923  0.2149
O  0.8083  0.1923  0.7851
O  0.2884  0.2878  0.0000
O  0.1916  0.8077  0.7851
O  0.6857  0.6863  0.5000
O  0.3143  0.3137  0.5000

Values from the calculation:
Crystal system: orthorhombic
E_tot (eV/atom): -8.2611



# 14
Computed, not measured: a geometry-optimized Sr2CeMoO6 structure at the PBE with a Hubbard U level of DFT.

Cell: 5.9220 6.0007 8.3669 Å, 90.00 89.94 90.00°
Each line ends with the local moment (μB).
Element x y z (fractional)
Sr  0.0124  0.9606  0.2498  0.00
Sr  0.5124  0.5394  0.7498  0.00
Sr  0.9876  0.0394  0.7502  0.00
Sr  0.4876  0.4606  0.2502  0.00
Ce  0.5000  0.0000  0.5000  0.11
Ce  0.0000  0.5000  0.0000  0.11
Mo  0.5000  0.0000  0.0000  1.79
Mo  0.0000  0.5000  0.5000  1.79
O  0.3036  0.7249  0.0490  0.00
O  0.8036  0.7751  0.5490  0.00
O  0.6964  0.2751  0.9510  0.00
O  0.1964  0.2249  0.4510  0.00
O  0.2843  0.7084  0.4523  0.01
O  0.7843  0.7916  0.9523  0.01
O  0.7157  0.2916  0.5477  0.01
O  0.2157  0.2084  0.0477  0.01
O  0.9115  0.5279  0.2635  -0.01
O  0.4115  0.9721  0.7635  -0.01
O  0.0885  0.4721  0.7365  -0.01
O  0.5885  0.0279  0.2365  -0.01

Values from the calculation:
Crystal system: monoclinic
E_tot (eV/atom): -7.3577



# 15
Computed, not measured: a geometry-optimized SrCeMoO6 structure at the PBE with a Hubbard U level of DFT.

Cell: 5.6561 5.6561 5.1963 Å, 90.00 90.00 60.00°
Element x y z (fractional)
Sr  0.0000  0.0000  0.0000
Ce  0.6666  0.6667  0.5000
Mo  0.3333  0.3333  0.5000
O  0.0375  0.3510  0.2910
O  0.3509  0.0375  0.7089
O  0.6115  0.3510  0.7089
O  0.0375  0.6115  0.7089
O  0.3510  0.6115  0.2910
O  0.6115  0.0375  0.2910

Values from the calculation:
Crystal system: trigonal
E_tot (eV/atom): -7.4786



# 16
Computed, not measured: a geometry-optimized Tb2CeMoO8 structure at the PBE with a Hubbard U level of DFT.

Cell: 5.0398 5.0383 6.8858 Å, 89.99 90.00 91.38°
Element x y z (fractional)
Tb  0.4998  0.4998  0.7567
Tb  0.5002  0.5002  0.2433
Ce  0.0000  0.0000  0.5000
Mo  0.0000  0.0000  0.0000
O  0.1810  0.8178  0.2137
O  0.7239  0.7250  0.9998
O  0.8187  0.1819  0.2136
O  0.8190  0.1822  0.7863
O  0.2761  0.2750  0.0002
O  0.1813  0.8181  0.7864
O  0.6974  0.6980  0.5001
O  0.3026  0.3020  0.4999

Values from the calculation:
Crystal system: orthorhombic
E_tot (eV/atom): -8.0091